Record 1
{
  "formula": "Er2TiZn",
  "functional": "PBE-GGA",
  "state": "relaxed",
  "lattice": [[-2.784, -1.581, -1.343], [-1.622, -1.179, 4.751], [-2.620, 4.437, 0.207]],
  "species": ["Ti", "Er", "Er", "Zn"],
  "frac_coords": [[0.500, 0.000, 0.000], [0.000, 0.000, 0.500], [0.000, 0.500, 0.000], [0.500, 0.500, 0.500]],
  "space_group": "P4/mmm, No. 123",
  "volume_a3_per_atom": 23.08,
  "formation_enthalpy_0k_ev_per_atom": 0.024,
  "final_energy_ev_per_atom": -4.550
}



Record 2
{
  "formula": "La8Pr6Dy",
  "functional": "PBE-GGA",
  "state": "relaxed",
  "lattice": [[10.124, 0.000, 0.000], [5.062, 8.768, 0.000], [5.062, 2.923, 6.150]],
  "species": ["La", "La", "La", "La", "La", "La", "La", "La", "Pr", "Pr", "Pr", "Pr", "Pr", "Pr", "Dy"],
  "frac_coords": [[0.775, 0.068, 0.509], [0.586, 0.586, 0.243], [0.932, 0.352, 0.491], [0.414, 0.414, 0.757], [0.068, 0.648, 0.509], [0.648, 0.775, 0.509], [0.352, 0.225, 0.491], [0.225, 0.932, 0.491], [0.917, 0.717, 0.976], [0.390, 0.917, 0.976], [0.610, 0.083, 0.024], [0.283, 0.610, 0.024], [0.717, 0.390, 0.976], [0.083, 0.283, 0.024], [0.000, 0.000, 0.000]],
  "space_group": "R-3, No. 148",
  "volume_a3_per_atom": 36.39,
  "formation_enthalpy_0k_ev_per_atom": 0.124,
  "final_energy_ev_per_atom": -4.722
}



Record 3
{
  "formula": "EuCu2Si",
  "functional": "PBE-GGA",
  "state": "relaxed",
  "lattice": [[4.128, 0.000, 0.000], [2.064, 3.575, 0.000], [2.064, 1.192, 5.123]],
  "species": ["Cu", "Cu", "Si", "Eu"],
  "frac_coords": [[0.805, 0.805, 0.586], [0.195, 0.195, 0.414], [0.500, 0.500, 0.500], [0.000, 0.000, 0.000]],
  "space_group": "R-3m, No. 166",
  "volume_a3_per_atom": 18.90,
  "formation_energy_uncorrected_ev_per_atom": -0.320,
  "final_energy_ev_per_atom": -6.293
}



Record 4
{
  "formula": "Rb3FeAu",
  "functional": "PBE-GGA",
  "state": "relaxed",
  "lattice": [[-6.034, -1.978, 0.918], [1.077, -0.357, 6.315], [-1.896, 6.093, 0.668]],
  "species": ["Rb", "Rb", "Rb", "Fe", "Au"],
  "frac_coords": [[0.000, 0.500, 0.000], [0.500, 0.000, 0.000], [0.000, 0.000, 0.500], [0.000, 0.000, 0.000], [0.500, 0.500, 0.500]],
  "space_group": "Pm-3m, No. 221",
  "volume_a3_per_atom": 52.83,
  "formation_enthalpy_0k_ev_per_atom": 0.758,
  "final_energy_ev_per_atom": -2.170
}



Record 5
{
  "formula": "SmAlAsO5",
  "functional": "PBE-GGA",
  "state": "relaxed",
  "lattice": [[5.559, 0.289, -0.149], [-1.346, 5.401, -0.149], [-1.926, -2.601, 6.766]],
  "species": ["O", "O", "O", "O", "O", "O", "O", "O", "O", "O", "Sm", "Sm", "As", "As", "Al", "Al"],
  "frac_coords": [[0.049, 0.951, 0.250], [0.634, 0.755, 0.903], [0.318, 0.895, 0.576], [0.245, 0.366, 0.597], [0.105, 0.682, 0.924], [0.895, 0.318, 0.076], [0.366, 0.245, 0.097], [0.951, 0.049, 0.750], [0.755, 0.634, 0.403], [0.682, 0.105, 0.424], [0.315, 0.685, 0.250], [0.685, 0.315, 0.750], [0.701, 0.299, 0.250], [0.299, 0.701, 0.750], [0.000, 0.000, 0.000], [0.000, 0.000, 0.500]],
  "space_group": "C2/c, No. 15",
  "volume_a3_per_atom": 12.60,
  "formation_energy_uncorrected_ev_per_atom": -2.317,
  "final_energy_ev_per_atom": -7.055
}



Record 6
{
  "formula": "HgSI2",
  "functional": "PBE-GGA",
  "state": "relaxed",
  "lattice": [[8.593, 0.000, 0.000], [0.000, 8.593, 0.000], [4.297, 4.297, 6.086]],
  "species": ["Hg", "Hg", "I", "I", "I", "I", "S", "S"],
  "frac_coords": [[0.000, 0.000, 0.000], [0.750, 0.250, 0.500], [0.875, 0.625, 0.750], [0.375, 0.625, 0.750], [0.375, 0.625, 0.250], [0.375, 0.125, 0.250], [0.500, 0.500, 0.000], [0.250, 0.750, 0.500]],
  "space_group": "I4_1/amd, No. 141",
  "volume_a3_per_atom": 56.18,
  "formation_energy_uncorrected_ev_per_atom": 0.099,
  "final_energy_ev_per_atom": -1.784
}



Record 7
{
  "formula": "TiTl3N",
  "functional": "PBE-GGA",
  "state": "relaxed",
  "lattice": [[-0.610, -3.783, -2.974], [2.945, -2.664, 2.785], [-3.806, -1.455, 2.632]],
  "species": ["Tl", "Tl", "Tl", "Ti", "N"],
  "frac_coords": [[0.500, 0.000, 0.000], [0.000, 0.000, 0.500], [0.000, 0.500, 0.000], [0.500, 0.500, 0.500], [0.000, 0.000, 0.000]],
  "space_group": "Pm-3m, No. 221",
  "volume_a3_per_atom": 22.83,
  "formation_energy_uncorrected_ev_per_atom": 1.061,
  "final_energy_ev_per_atom": -3.603
}



Record 8
{
  "formula": "LaVN3",
  "functional": "PBE-GGA",
  "state": "relaxed",
  "lattice": [[-4.595, -4.913, -1.080], [2.203, -3.540, -0.806], [-0.064, -1.179, 5.194]],
  "species": ["N", "N", "N", "N", "N", "N", "V", "V", "La", "La"],
  "frac_coords": [[0.978, 0.491, 0.872], [0.732, 0.073, 0.033], [0.382, 0.169, 0.415], [0.215, 0.867, 0.028], [0.435, 0.447, 0.439], [0.991, 0.951, 0.497], [0.963, 0.903, 0.852], [0.244, 0.871, 0.367], [0.796, 0.535, 0.291], [0.377, 0.286, 0.912]],
  "space_group": "P1, No. 1",
  "volume_a3_per_atom": 14.79,
  "formation_energy_uncorrected_ev_per_atom": -0.994,
  "final_energy_ev_per_atom": -8.799
}



Record 9
{
  "formula": "HfAgSN2",
  "functional": "PBE-GGA",
  "state": "relaxed",
  "lattice": [[-3.584, -1.719, 0.653], [-0.273, -0.918, -3.913], [2.080, -4.032, 0.801]],
  "species": ["S", "N", "N", "Hf", "Ag"],
  "frac_coords": [[0.000, 0.000, 0.500], [0.000, 0.500, 0.000], [0.500, 0.000, 0.000], [0.500, 0.500, 0.500], [0.000, 0.000, 0.000]],
  "space_group": "P4/mmm, No. 123",
  "volume_a3_per_atom": 14.95,
  "formation_energy_uncorrected_ev_per_atom": 1.288,
  "final_energy_ev_per_atom": -5.428
}



Record 10
{
  "formula": "SrAg2O4",
  "functional": "PBE-GGA",
  "state": "relaxed",
  "lattice": [[6.254, 0.000, 0.000], [0.000, 6.254, 0.000], [-3.127, -3.127, 5.166]],
  "species": ["Sr", "Sr", "O", "O", "O", "O", "O", "O", "O", "O", "Ag", "Ag", "Ag", "Ag"],
  "frac_coords": [[0.500, 0.500, 0.000], [0.750, 0.250, 0.500], [0.803, 0.666, 0.899], [0.334, 0.904, 0.101], [0.447, 0.084, 0.601], [0.483, 0.553, 0.399], [0.154, 0.517, 0.601], [0.916, 0.846, 0.399], [0.767, 0.197, 0.101], [0.096, 0.233, 0.899], [0.125, 0.875, 0.250], [0.125, 0.375, 0.250], [0.625, 0.875, 0.750], [0.125, 0.875, 0.750]],
  "space_group": "I4_1/a, No. 88",
  "volume_a3_per_atom": 14.43,
  "formation_energy_uncorrected_ev_per_atom": -0.942,
  "final_energy_ev_per_atom": -4.830
}



Record 11
{
  "formula": "Dy4YCd2",
  "functional": "PBE-GGA",
  "state": "relaxed",
  "lattice": [[5.109, 0.000, 0.000], [2.554, 4.424, 0.000], [2.554, 1.475, 10.204]],
  "species": ["Cd", "Cd", "Dy", "Dy", "Dy", "Dy", "Y"],
  "frac_coords": [[0.600, 0.600, 0.199], [0.400, 0.400, 0.801], [0.105, 0.105, 0.684], [0.895, 0.895, 0.316], [0.703, 0.703, 0.892], [0.297, 0.297, 0.108], [0.500, 0.500, 0.500]],
  "space_group": "R-3m, No. 166",
  "volume_a3_per_atom": 32.95,
  "formation_enthalpy_0k_ev_per_atom": 0.216,
  "final_energy_ev_per_atom": -3.598
}



Record 12
{
  "formula": "Sc2ClO",
  "functional": "PBE-GGA",
  "state": "relaxed",
  "lattice": [[5.513, 5.061, 0.693], [6.648, 3.058, -1.713], [4.503, 5.496, -2.450]],
  "species": ["Cl", "Sc", "Sc", "O"],
  "frac_coords": [[0.000, 0.000, 0.000], [0.889, 0.889, 0.889], [0.111, 0.111, 0.111], [0.500, 0.500, 0.500]],
  "space_group": "R-3m, No. 166",
  "volume_a3_per_atom": 17.44,
  "formation_energy_uncorrected_ev_per_atom": -1.808,
  "final_energy_ev_per_atom": -6.675
}



Record 13
{
  "formula": "LiSc2ZnPd4",
  "functional": "PBE-GGA",
  "state": "relaxed",
  "lattice": [[4.505, 0.000, 0.000], [2.253, 3.902, 0.000], [2.253, 1.301, 7.338]],
  "species": ["Zn", "Pd", "Pd", "Pd", "Pd", "Li", "Sc", "Sc"],
  "frac_coords": [[0.500, 0.500, 0.500], [0.876, 0.876, 0.373], [0.124, 0.124, 0.627], [0.625, 0.625, 0.124], [0.375, 0.375, 0.876], [0.000, 0.000, 0.000], [0.751, 0.751, 0.748], [0.249, 0.249, 0.252]],
  "space_group": "R-3m, No. 166",
  "volume_a3_per_atom": 16.12,
  "formation_enthalpy_0k_ev_per_atom": -0.754,
  "final_energy_ev_per_atom": -5.332
}



Record 14
{
  "formula": "Y4Cd2GaAg",
  "functional": "PBE-GGA",
  "state": "relaxed",
  "lattice": [[5.207, 0.000, 0.000], [2.604, 4.510, 0.000], [2.604, 1.503, 8.511]],
  "species": ["Cd", "Cd", "Y", "Y", "Y", "Y", "Ga", "Ag"],
  "frac_coords": [[0.752, 0.752, 0.745], [0.248, 0.248, 0.255], [0.373, 0.373, 0.880], [0.877, 0.877, 0.370], [0.627, 0.627, 0.120], [0.123, 0.123, 0.630], [0.000, 0.000, 0.000], [0.500, 0.500, 0.500]],
  "space_group": "R-3m, No. 166",
  "volume_a3_per_atom": 24.98,
  "formation_enthalpy_0k_ev_per_atom": -0.400,
  "final_energy_ev_per_atom": -4.596
}



Record 15
{
  "formula": "Sc2PRh",
  "functional": "PBE-GGA",
  "state": "relaxed",
  "lattice": [[3.747, 0.000, 0.000], [0.000, 3.747, 0.000], [0.000, 0.000, 5.426]],
  "species": ["Rh", "Sc", "Sc", "P"],
  "frac_coords": [[0.500, 0.500, 0.849], [0.500, 0.500, 0.322], [0.000, 0.000, 0.919], [0.000, 0.000, 0.411]],
  "space_group": "P4mm, No. 99",
  "volume_a3_per_atom": 19.04,
  "formation_enthalpy_0k_ev_per_atom": -0.899,
  "final_energy_ev_per_atom": -7.255
}



Record 16
{
  "formula": "Ti2Cd2Br2O5",
  "functional": "PBE-GGA",
  "state": "relaxed",
  "lattice": [[-0.458, 1.249, 3.499], [2.463, -2.538, 1.228], [9.498, 9.899, -4.295]],
  "species": ["O", "O", "O", "O", "O", "Ti", "Ti", "Br", "Br", "Cd", "Cd"],
  "frac_coords": [[0.084, 0.584, 0.167], [0.416, 0.916, 0.833], [0.000, 0.000, 0.000], [0.916, 0.416, 0.833], [0.584, 0.084, 0.167], [0.064, 0.064, 0.128], [0.936, 0.936, 0.872], [0.813, 0.813, 0.625], [0.187, 0.187, 0.375], [0.637, 0.637, 0.274], [0.363, 0.363, 0.726]],
  "space_group": "I4/mmm, No. 139",
  "volume_a3_per_atom": 18.00,
  "formation_energy_uncorrected_ev_per_atom": -1.995,
  "final_energy_ev_per_atom": -6.155
}



Record 17
{
  "formula": "Gd2HoRe",
  "functional": "PBE-GGA",
  "state": "relaxed",
  "lattice": [[-1.058, 2.775, -1.339], [-0.003, 0.348, -3.239], [-10.815, -3.162, -1.967]],
  "species": ["Gd", "Gd", "Ho", "Re"],
  "frac_coords": [[0.922, 0.922, 0.234], [0.078, 0.078, 0.766], [0.500, 0.500, 0.500], [0.000, 0.000, 0.000]],
  "space_group": "R-3m, No. 166",
  "volume_a3_per_atom": 25.93,
  "formation_enthalpy_0k_ev_per_atom": 0.783,
  "final_energy_ev_per_atom": -10.514
}



Record 18
{
  "formula": "Nd12ScTl3",
  "functional": "PBE-GGA",
  "state": "relaxed",
  "lattice": [[4.993, 0.000, 0.000], [0.000, 4.993, 0.000], [0.000, 0.000, 20.244]],
  "species": ["Tl", "Tl", "Tl", "Nd", "Nd", "Nd", "Nd", "Nd", "Nd", "Nd", "Nd", "Nd", "Nd", "Nd", "Nd", "Sc"],
  "frac_coords": [[0.000, 0.000, 0.254], [0.000, 0.000, 0.500], [0.000, 0.000, 0.746], [0.500, 0.000, 0.624], [0.500, 0.000, 0.376], [0.500, 0.500, 0.000], [0.000, 0.500, 0.126], [0.000, 0.500, 0.376], [0.000, 0.500, 0.624], [0.500, 0.500, 0.251], [0.500, 0.500, 0.749], [0.500, 0.000, 0.874], [0.500, 0.500, 0.500], [0.000, 0.500, 0.874], [0.500, 0.000, 0.126], [0.000, 0.000, 0.000]],
  "space_group": "P4/mmm, No. 123",
  "volume_a3_per_atom": 31.55,
  "formation_enthalpy_0k_ev_per_atom": -0.141,
  "final_energy_ev_per_atom": -4.557
}



Record 19
{
  "formula": "CeTm2Ru",
  "functional": "PBE-GGA",
  "state": "relaxed",
  "lattice": [[-2.287, -0.532, 2.423], [0.653, -3.309, -0.110], [6.314, 1.040, 6.187]],
  "species": ["Tm", "Tm", "Ru", "Ce"],
  "frac_coords": [[0.000, 0.000, 0.182], [0.000, 0.000, 0.818], [0.500, 0.500, 0.000], [0.500, 0.500, 0.500]],
  "space_group": "P4/mmm, No. 123",
  "volume_a3_per_atom": 25.34,
  "formation_enthalpy_0k_ev_per_atom": -0.233,
  "final_energy_ev_per_atom": -6.271
}



Record 20
{
  "formula": "Sr4LiIr",
  "functional": "PBE-GGA",
  "state": "relaxed",
  "lattice": [[-0.286, -6.052, -3.053], [0.221, -5.681, 3.702], [-5.545, -3.857, 0.628]],
  "species": ["Li", "Sr", "Sr", "Sr", "Sr", "Ir"],
  "frac_coords": [[0.000, 0.000, 0.000], [0.376, 0.376, 0.376], [0.376, 0.376, 0.871], [0.871, 0.376, 0.376], [0.376, 0.871, 0.376], [0.750, 0.750, 0.750]],
  "space_group": "F-43m, No. 216",
  "volume_a3_per_atom": 36.80,
  "formation_enthalpy_0k_ev_per_atom": 0.899,
  "final_energy_ev_per_atom": -2.018
}



Record 21
{
  "formula": "TiBeP2Cl",
  "functional": "PBE-GGA",
  "state": "relaxed",
  "lattice": [[4.769, 0.000, 0.000], [0.000, 4.769, 0.000], [0.000, 0.000, 4.640]],
  "species": ["P", "P", "Ti", "Cl", "Be"],
  "frac_coords": [[0.500, 0.000, 0.000], [0.000, 0.500, 0.000], [0.000, 0.000, 0.000], [0.000, 0.000, 0.500], [0.500, 0.500, 0.500]],
  "space_group": "P4/mmm, No. 123",
  "volume_a3_per_atom": 21.11,
  "formation_energy_uncorrected_ev_per_atom": 0.405,
  "final_energy_ev_per_atom": -4.452
}



Record 22
{
  "formula": "YTm4In4",
  "functional": "PBE-GGA",
  "state": "relaxed",
  "lattice": [[7.145, 0.000, 0.000], [0.000, 7.145, 0.000], [0.000, 0.000, 10.471]],
  "species": ["Tm", "Tm", "Tm", "Tm", "Tm", "Tm", "Tm", "Tm", "In", "In", "In", "In", "In", "In", "In", "In", "Y", "Y"],
  "frac_coords": [[0.770, 0.500, 0.915], [0.500, 0.770, 0.085], [0.000, 0.270, 0.415], [0.730, 0.000, 0.585], [0.230, 0.500, 0.915], [0.000, 0.730, 0.415], [0.500, 0.230, 0.085], [0.270, 0.000, 0.585], [0.718, 0.000, 0.287], [0.500, 0.782, 0.787], [0.500, 0.218, 0.787], [0.218, 0.500, 0.213], [0.282, 0.000, 0.287], [0.000, 0.718, 0.713], [0.000, 0.282, 0.713], [0.782, 0.500, 0.213], [0.500, 0.500, 0.500], [0.000, 0.000, 0.000]],
  "space_group": "P4_2/nmc, No. 137",
  "volume_a3_per_atom": 29.69,
  "formation_enthalpy_0k_ev_per_atom": -0.130,
  "final_energy_ev_per_atom": -4.052
}



Record 23
{
  "formula": "La2Y2Zn",
  "functional": "PBE-GGA",
  "state": "relaxed",
  "lattice": [[-3.434, -1.140, -0.338], [0.681, -2.730, 2.301], [-1.718, 8.632, 7.881]],
  "species": ["La", "La", "Y", "Y", "Zn"],
  "frac_coords": [[0.192, 0.192, 0.383], [0.808, 0.808, 0.617], [0.425, 0.425, 0.850], [0.575, 0.575, 0.150], [0.000, 0.000, 0.000]],
  "space_group": "I4/mmm, No. 139",
  "volume_a3_per_atom": 30.46,
  "formation_enthalpy_0k_ev_per_atom": -0.131,
  "final_energy_ev_per_atom": -4.942
}



Record 24
{
  "formula": "KPbS3",
  "functional": "PBE-GGA",
  "state": "relaxed",
  "lattice": [[-4.961, -1.198, 1.352], [1.517, -0.615, 5.019], [-0.981, 5.105, 0.922]],
  "species": ["S", "S", "S", "K", "Pb"],
  "frac_coords": [[0.000, 0.000, 0.500], [0.500, 0.000, 0.000], [0.000, 0.500, 0.000], [0.500, 0.500, 0.500], [0.000, 0.000, 0.000]],
  "space_group": "Pm-3m, No. 221",
  "volume_a3_per_atom": 29.43,
  "formation_energy_uncorrected_ev_per_atom": -0.087,
  "final_energy_ev_per_atom": -3.525
}



Record 25
{
  "formula": "LaHf2Al",
  "functional": "PBE-GGA",
  "state": "relaxed",
  "lattice": [[3.121, 0.000, 0.000], [1.561, 2.703, 0.000], [1.561, 0.901, 11.038]],
  "species": ["Hf", "Hf", "La", "Al"],
  "frac_coords": [[0.095, 0.095, 0.716], [0.905, 0.905, 0.284], [0.000, 0.000, 0.000], [0.500, 0.500, 0.500]],
  "space_group": "R-3m, No. 166",
  "volume_a3_per_atom": 23.28,
  "formation_enthalpy_0k_ev_per_atom": 0.207,
  "final_energy_ev_per_atom": -6.937
}